No. 1
{
  "formula": "CaSmErCd",
  "functional": "PBE",
  "state": "relaxed",
  "formation_energy_ev_per_fu": -0.03,
  "lattice_angstrom": [[0.0000, 3.9091, 3.9091], [3.9091, 0.0000, 3.9091], [3.9091, 3.9091, 0.0000]],
  "species": ["Ca", "Sm", "Er", "Cd"],
  "frac_coords": [[0.0000, 0.0000, 0.0000], [0.7500, 0.7500, 0.7500], [0.2500, 0.2500, 0.2500], [0.5000, 0.5000, 0.5000]]
}

No. 2
{
  "formula": "Te4AsAu3",
  "functional": "PBE",
  "state": "relaxed",
  "formation_energy_uncorrected_ev_per_atom": 0.0209,
  "lattice_angstrom": [[8.8618, 0.0000, 0.0000], [0.0000, 7.7020, 0.0000], [0.0000, 0.0000, 7.3982]],
  "species": ["Te", "Te", "Te", "Te", "Te", "Te", "Te", "Te", "As", "As", "Au", "Au", "Au", "Au", "Au", "Au"],
  "frac_coords": [[0.0000, 0.1625, 0.0000], [0.0000, 0.8197, 0.4842], [0.2491, 0.6601, 0.9802], [0.2509, 0.3399, 0.4802], [0.5000, 0.1803, 0.9842], [0.5000, 0.8375, 0.5000], [0.7491, 0.3399, 0.4802], [0.7509, 0.6601, 0.9802], [0.0000, 0.8369, 0.8594], [0.5000, 0.1631, 0.3594], [0.0000, 0.1577, 0.3785], [0.2421, 0.3217, 0.8476], [0.2579, 0.6783, 0.3476], [0.5000, 0.8423, 0.8785], [0.7421, 0.6783, 0.3476], [0.7579, 0.3217, 0.8476]]
}

No. 3
{
  "formula": "BaSr3Pd",
  "functional": "PBE",
  "state": "relaxed",
  "formation_energy_ev_per_fu": -1.49,
  "e_above_lowest_polymorph_mev_per_atom": 0,
  "lattice_angstrom": [[8.6897, 0.0000, 0.0000], [0.0000, 7.5972, 0.0000], [0.0000, 0.0000, 7.2229]],
  "species": ["Ba", "Ba", "Sr", "Sr", "Sr", "Sr", "Sr", "Sr", "Pd", "Pd"],
  "frac_coords": [[0.0000, 0.1647, 0.0000], [0.5000, 0.8353, 0.5000], [0.0000, 0.8233, 0.4885], [0.2490, 0.3406, 0.4929], [0.2510, 0.6594, 0.9929], [0.5000, 0.1767, 0.9885], [0.7490, 0.6594, 0.9929], [0.7510, 0.3406, 0.4929], [0.0000, 0.5034, 0.2435], [0.5000, 0.4966, 0.7435]]
}

No. 4
{
  "formula": "SbPt2Pb2",
  "functional": "PBE",
  "state": "relaxed",
  "formation_energy_uncorrected_ev_per_atom": 0.0167,
  "e_above_lowest_polymorph_mev_per_atom": 114,
  "lattice_angstrom": [[-1.9132, 1.9132, 8.6411], [1.9132, -1.9132, 8.6411], [1.9132, 1.9132, -8.6411]],
  "species": ["Sb", "Pt", "Pt", "Pb", "Pb"],
  "frac_coords": [[0.0000, 0.0000, 0.0000], [0.2500, 0.7500, 0.5000], [0.7500, 0.2500, 0.5000], [0.3784, 0.3784, 0.0000], [0.6216, 0.6216, 0.0000]]
}

Repeat the third record exactly.
{
  "formula": "BaSr3Pd",
  "functional": "PBE",
  "state": "relaxed",
  "formation_energy_ev_per_fu": -1.49,
  "e_above_lowest_polymorph_mev_per_atom": 0,
  "lattice_angstrom": [[8.6897, 0.0000, 0.0000], [0.0000, 7.5972, 0.0000], [0.0000, 0.0000, 7.2229]],
  "species": ["Ba", "Ba", "Sr", "Sr", "Sr", "Sr", "Sr", "Sr", "Pd", "Pd"],
  "frac_coords": [[0.0000, 0.1647, 0.0000], [0.5000, 0.8353, 0.5000], [0.0000, 0.8233, 0.4885], [0.2490, 0.3406, 0.4929], [0.2510, 0.6594, 0.9929], [0.5000, 0.1767, 0.9885], [0.7490, 0.6594, 0.9929], [0.7510, 0.3406, 0.4929], [0.0000, 0.5034, 0.2435], [0.5000, 0.4966, 0.7435]]
}